[1]
Computed, not measured: an optimized crystal structure of LiPrHgSe3 at the GGA-PBE level of DFT.

## Properties
The total DFT energy (no corrections) comes out at -0.291 Ry/atom. The space-group type is Cmcm. The energy above the most stable polymorph in this dataset is 41 meV per atom. The calculation puts the theoretical density at 6.07 g/cm³.

Geometry as extended XYZ:
```
12
Lattice="-0.6148 -0.5732 6.9674 -4.1674 -2.0210 5.2725 4.4884 -10.4690 -0.4652" Properties=species:S:1:pos:R:3 pbc="T T T"
Se -0.9130 -10.1731 10.6039
Se 0.2467 -5.4137 4.1075
Se 0.6193 -2.8900 1.1707
Se -0.5404 -7.6494 7.6671
Se 1.0747 -11.4165 7.4997
Se -1.3684 -1.6467 4.2749
Li -2.5927 -4.6324 9.3917
Li 2.2990 -8.4307 2.3829
Pr 0.0000 0.0000 0.0000
Pr 2.2442 -5.2345 -0.2326
Hg 0.8639 -9.2092 6.0559
Hg -1.1577 -3.8539 5.7187
```

[2]
Computed, not measured: an optimized crystal structure of NdYGa4 at the GGA-PBE level of DFT.

## Properties
The total DFT energy (no corrections) comes out at -0.335 Ry/atom. The space-group type is P-6m2. The calculation puts the theoretical density at 6.69 g/cm³.

Geometry as extended XYZ:
```
6
Lattice="4.3009 0.0000 0.0000 -2.1504 3.7247 0.0000 0.0000 0.0000 7.9362" Properties=species:S:1:pos:R:3 pbc="T T T"
Nd 0.0000 0.0000 3.9681
Ga 2.1504 1.2416 6.0303
Ga 2.1504 1.2416 1.9059
Ga 0.0000 2.4831 5.9970
Ga 0.0000 2.4831 1.9393
Y 0.0000 0.0000 0.0000
```

[3]
Computed, not measured: an optimized crystal structure of BaDyOs at the GGA-PBE level of DFT.

## Properties
The total DFT energy (no corrections) comes out at -0.329 Ry/atom. The space-group type is F-43m. The energy above the most stable polymorph in this dataset is 1020 meV per atom. The calculation puts the theoretical density at 9.79 g/cm³.

Geometry as extended XYZ:
```
3
Lattice="0.0000 3.4638 3.4638 3.4638 0.0000 3.4638 3.4638 3.4638 0.0000" Properties=species:S:1:pos:R:3 pbc="T T T"
Dy 1.7319 1.7319 1.7319
Ba 0.0000 0.0000 0.0000
Os 5.1957 5.1957 5.1957
```

[4]
Computed, not measured: an optimized crystal structure of TmTePb2O6 at the GGA-PBE level of DFT.

## Properties
The total DFT energy (no corrections) comes out at -0.451 Ry/atom. The space-group type is C2/m. The energy above the most stable polymorph in this dataset is 0 meV per atom. The calculation puts the theoretical density at 9.26 g/cm³.

Geometry as extended XYZ:
```
10
Lattice="-5.2993 0.9765 2.2918 -2.6416 -4.2047 3.1034 4.7802 2.7993 2.2168" Properties=species:S:1:pos:R:3 pbc="T T T"
O -2.8128 -0.5664 5.5949
O -3.3411 0.4043 2.6346
O 0.1803 -0.8332 4.9774
O -0.3480 0.1375 2.0172
O -1.1784 1.8156 4.5625
O -1.9824 -2.2446 3.0496
Pb 1.6723 1.3389 3.0710
Pb -4.8330 -1.7678 4.5411
Te 0.0000 0.0000 0.0000
Tm -1.5804 -0.2145 3.8060
```

[5]
Computed, not measured: an optimized crystal structure of Th2GaOs2 at the GGA-PBE level of DFT.

## Properties
The total DFT energy (no corrections) comes out at -0.624 Ry/atom. The space-group type is C2/c. The calculation puts the theoretical density at 13.80 g/cm³.

Geometry as extended XYZ:
```
10
Lattice="5.0498 -2.7927 0.0000 5.0498 2.7927 0.0000 -2.4332 0.0000 7.8022" Properties=species:S:1:pos:R:3 pbc="T T T"
Ga 4.4415 2.0937 1.9505
Ga 3.2249 -2.0937 5.8516
Os 2.5145 1.9300 3.6837
Os 6.3685 1.9300 0.2174
Os 1.2979 -1.9300 7.5848
Os 5.1520 -1.9300 4.1184
Th 6.1677 -0.8573 1.1418
Th 2.7153 -0.8573 2.7592
Th 1.4987 0.8573 6.6603
Th 4.9512 0.8573 5.0429
```

[6]
Computed, not measured: an optimized crystal structure of Cd2GaS3 at the GGA-PBE level of DFT.

## Properties
The total DFT energy (no corrections) comes out at -0.248 Ry/atom. The space-group type is Cc. The calculation puts the theoretical density at 4.37 g/cm³.

Geometry as extended XYZ:
```
12
Lattice="3.5126 -6.0832 0.0000 3.5126 6.0832 0.0000 -2.8161 0.0000 6.9518" Properties=species:S:1:pos:R:3 pbc="T T T"
S 1.8911 -2.9193 6.0044
S -1.6437 -0.6829 6.1425
S 3.5280 -1.1727 2.6491
S -0.2357 0.6829 2.6666
S 3.2991 2.9193 2.5285
S 2.1199 1.1727 6.1250
Cd 3.6029 -0.8269 0.0890
Cd 2.1949 0.8269 3.5649
Cd 0.7505 3.2253 6.9456
Cd 2.1586 -3.2253 3.4697
Ga 2.2380 4.8464 3.6875
Ga 3.6461 -4.8464 0.2116
```

[7]
Computed, not measured: an optimized crystal structure of SmHoBr3N at the GGA-PBE level of DFT.

## Properties
The total DFT energy (no corrections) comes out at -0.410 Ry/atom. The space-group type is C2/m. The energy above the most stable polymorph in this dataset is 36 meV per atom. The calculation puts the theoretical density at 5.57 g/cm³.

Geometry as extended XYZ:
```
12
Lattice="9.1295 -1.9521 0.0000 9.1295 1.9521 0.0000 -6.6688 0.0000 9.5138" Properties=species:S:1:pos:R:3 pbc="T T T"
Ho 0.5793 0.0000 2.7175
Ho 11.0110 0.0000 6.7963
Sm 4.1395 0.0000 9.1247
Sm 7.4507 0.0000 0.3891
Br 15.8906 0.0000 2.4675
Br 8.3985 0.0000 8.3255
Br 8.8210 0.0000 4.8514
Br -4.3003 0.0000 7.0463
Br 2.7692 0.0000 4.6624
Br 3.1917 0.0000 1.1883
N 9.4807 0.0000 1.4943
N 2.1095 0.0000 8.0194
```

[8]
Computed, not measured: an optimized crystal structure of NaZrTe at the GGA-PBE level of DFT.

## Properties
The total DFT energy (no corrections) comes out at -0.321 Ry/atom. The space-group type is F-43m. The energy above the most stable polymorph in this dataset is 0 meV per atom. The calculation puts the theoretical density at 4.84 g/cm³.

Geometry as extended XYZ:
```
3
Lattice="2.1537 -3.1865 3.0273 3.3371 -3.1395 -1.7218 4.7178 0.5516 1.1810" Properties=species:S:1:pos:R:3 pbc="T T T"
Zr 7.6565 -4.3307 1.8649
Na 2.5522 -1.4436 0.6216
Te 0.0000 0.0000 0.0000
```